# Hf3CO

Hf3CO after structural relaxation (PBE, the Alexandria database).

Results
Energy above the lowest structure with this stoichiometry in meV per atom: 0
Crystal system: cubic
Raw formation energy in eV/atom: 0.080

Cell: 4.2627 4.2627 4.2627 Å, 90.00 90.00 90.00°
Atoms (fractional coordinates):
O: 0.0000 0.0000 0.0000
Hf: 0.5000 0.0000 0.0000
Hf: 0.0000 0.0000 0.5000
Hf: 0.0000 0.5000 0.0000
C: 0.5000 0.5000 0.5000